1.
Mn2GaCoN after structural relaxation, computed with PBE.

Its density is 7.8 Mg/m³. Its formation energy without anion corrections is -0.25 eV/atom. The total magnetization comes out at 0.574 μB per atom. The space group is P4/mmm (123). As for the density of states at the Fermi level: 4.8 states/eV/cell.

Unit cell a=3.7599 b=3.7599 c=3.8264 alpha=90.00 beta=90.00 gamma=90.00
Element x y z (fractional)
Mn1 0.0000 0.5000 0.0000
Mn2 0.5000 0.0000 0.0000
Ga1 0.0000 0.0000 0.5000
Co1 0.5000 0.5000 0.5000
N1 0.5000 0.5000 0.0000

2.
Pm2BeSb after structural relaxation, computed with PBE.

Its density is 6.8 Mg/m³. Its formation energy without anion corrections is -0.25 eV/atom. The total magnetization comes out at 0.000 μB per atom. The space group is Fm-3m (225). As for the density of states at the Fermi level: 3.3 states/eV/cell. The value obtained for the energy above the most stable polymorph in this dataset is 51.2 meV/atom.

Unit cell a=5.2524 b=5.2524 c=5.2524 alpha=60.00 beta=60.00 gamma=60.00
Element x y z (fractional)
Pm1 0.2500 0.2500 0.2500
Pm2 0.7500 0.7500 0.7500
Be1 0.0000 0.0000 0.0000
Sb1 0.5000 0.5000 0.5000

3.
Cs2NaSn2Se4 after structural relaxation, computed with PBE.

Its density is 4.5 Mg/m³. Its formation energy without anion corrections is -0.82 eV/atom. The total magnetization comes out at 0.000 μB per atom. The space group is C2/m (12). As for the density of states at the Fermi level: 1.9 states/eV/cell.

Unit cell a=8.0046 b=8.0046 c=7.7864 alpha=102.55 beta=102.55 gamma=39.68
Element x y z (fractional)
Cs1 0.1346 0.1346 0.0796
Cs2 0.8654 0.8654 0.9204
Na1 0.0000 0.0000 0.5000
Sn1 0.3528 0.3528 0.4449
Sn2 0.6472 0.6472 0.5551
Se1 0.1960 0.1960 0.6423
Se2 0.4876 0.4876 0.7361
Se3 0.5124 0.5124 0.2639
Se4 0.8040 0.8040 0.3577

4.
LaHf2AsRu after structural relaxation, computed with PBE.

Its density is 8.2 Mg/m³. The total magnetization comes out at 0.000 μB per atom. For the formation energy, the calculation gives 2.043 eV per atom. The space group is P4/mmm (123). As for the density of states at the Fermi level: 4.4 states/eV/cell. The value obtained for the energy above the most stable polymorph in this dataset is 1983.8 meV/atom.

Unit cell a=5.1286 b=5.1286 c=5.1994 alpha=90.00 beta=90.00 gamma=90.00
Element x y z (fractional)
La1 0.0000 0.0000 0.0000
Hf1 0.0000 0.5000 0.0000
Hf2 0.5000 0.0000 0.0000
As1 0.0000 0.0000 0.5000
Ru1 0.5000 0.5000 0.5000

5.
Fe3SiNi6 after structural relaxation, computed with PBE.

Its density is 8.1 Mg/m³. Its formation energy without anion corrections is -0.18 eV/atom. The total magnetization comes out at 1.040 μB per atom. The space group is P2_1/m (11). As for the density of states at the Fermi level: 15.7 states/eV/cell.

Unit cell a=7.8491 b=3.5740 c=7.9727 alpha=90.00 beta=91.51 gamma=90.00
Element x y z (fractional)
Fe1 0.0537 0.2500 0.4011
Fe2 0.1542 0.7500 0.2087
Fe3 0.2501 0.2500 0.0057
Fe4 0.7499 0.7500 0.9943
Fe5 0.8458 0.2500 0.7913
Fe6 0.9463 0.7500 0.5989
Si1 0.4351 0.2500 0.6244
Si2 0.5649 0.7500 0.3756
Ni1 0.0473 0.7500 0.9012
Ni2 0.1454 0.2500 0.7023
Ni3 0.2682 0.7500 0.5078
Ni4 0.3445 0.7500 0.8107
Ni5 0.3690 0.2500 0.3158
Ni6 0.4490 0.7500 0.1026
Ni7 0.5510 0.2500 0.8974
Ni8 0.6310 0.7500 0.6842
Ni9 0.6555 0.2500 0.1893
Ni10 0.7318 0.2500 0.4922
Ni11 0.8546 0.7500 0.2977
Ni12 0.9527 0.2500 0.0988

6.
LiSmH8Pt2 after structural relaxation, computed with PBE.

Its density is 8.5 Mg/m³. The total magnetization comes out at 0.000 μB per atom. The space group is R-3 (148). For the total energy, the calculation gives -3.983 eV per atom. As for the density of states at the Fermi level: 1.8 states/eV/cell.

Unit cell a=6.1364 b=6.1364 c=6.1364 alpha=45.94 beta=45.94 gamma=45.94
Element x y z (fractional)
Li1 0.0000 0.0000 0.0000
Sm1 0.5000 0.5000 0.5000
H1 0.0913 0.3829 0.7043
H2 0.1774 0.1774 0.1774
H3 0.2957 0.9087 0.6171
H4 0.3829 0.7043 0.0913
H5 0.6171 0.2957 0.9087
H6 0.7043 0.0913 0.3829
H7 0.8226 0.8226 0.8226
H8 0.9087 0.6171 0.2957
Pt1 0.2760 0.2760 0.2760
Pt2 0.7240 0.7240 0.7240